#P
The following is a DFT calculation (PBE) of a relaxed structure of Ho5Er12Th2.

Cell: 9.2961 12.2305 8.4259 Å, 132.31 90.00 112.34°
Positions (direct):
Ho 0.3044 0.6089 0.6215
Ho 0.2326 0.4652 0.8896
Ho 0.0000 0.0000 0.5000
Ho 0.7674 0.5349 0.1104
Ho 0.6956 0.3911 0.3785
Er 0.0881 0.1761 0.2928
Er 0.0256 0.6921 0.9355
Er 0.6665 0.6921 0.9355
Er 0.1807 0.7456 0.4022
Er 0.5649 0.7456 0.4022
Er 0.5568 0.1136 0.7880
Er 0.4432 0.8864 0.2120
Er 0.8193 0.2544 0.5978
Er 0.4351 0.2544 0.5978
Er 0.9744 0.3079 0.0645
Er 0.3335 0.3079 0.0645
Er 0.9119 0.8239 0.7072
Th 0.6800 0.0000 0.0000
Th 0.3200 0.0000 0.0000

## Properties
Density (g cm⁻³): 9.006
Total magnetization (μB per cell): 0.03

#Q
The following is a DFT calculation (PBE) of a relaxed structure of Ho5Er12Th2.

Cell: 6.2183 9.0034 13.6779 Å, 128.31 94.49 91.93°
Positions (direct):
Ho 0.2787 0.4899 0.5558
Ho 0.1215 0.6665 0.1549
Ho 0.0000 0.0000 0.5000
Ho 0.8785 0.3335 0.8451
Ho 0.7213 0.5101 0.4442
Er 0.9803 0.1106 0.2718
Er 0.0791 0.7830 0.9477
Er 0.5941 0.7277 0.0525
Er 0.1826 0.5490 0.3464
Er 0.6446 0.6151 0.2523
Er 0.5037 0.9359 0.6154
Er 0.4963 0.0641 0.3846
Er 0.8174 0.4510 0.6536
Er 0.3554 0.3849 0.7477
Er 0.9209 0.2170 0.0523
Er 0.4059 0.2723 0.9475
Er 0.0197 0.8894 0.7282
Th 0.5453 0.8332 0.8423
Th 0.4547 0.1668 0.1577

## Properties
Density (g cm⁻³): 9.188
Total magnetization (μB per cell): 0.00

Stability order, top to bottom: #Q, #P

#P
The following is a DFT calculation (PBE) of a relaxed structure of Ho6ErTh4.

Cell: 8.5058 8.5058 8.5058 Å, 80.99 125.33 125.33°
Positions (direct):
Ho 0.0000 0.9284 0.4356
Ho 0.0000 0.4356 0.9284
Ho 0.5073 0.0716 0.0716
Ho 0.5000 0.0000 0.5000
Ho 0.4927 0.5644 0.5644
Ho 0.5000 0.5000 0.0000
Er 0.0000 0.0000 0.0000
Th 0.0000 0.2575 0.5949
Th 0.6626 0.4051 0.4051
Th 0.0000 0.5949 0.2575
Th 0.3374 0.7425 0.7425

## Properties
Density (g cm⁻³): 8.772
Total magnetization (μB per cell): 0.00

#Q
The following is a DFT calculation (PBE) of a relaxed structure of Ho6ErTh4.

Cell: 5.8156 3.4138 18.1419 Å, 95.40 99.22 90.00°
Positions (direct):
Ho 0.7329 0.2329 0.4657
Ho 0.9046 0.4046 0.8092
Ho 0.0954 0.5954 0.1908
Ho 0.6311 0.1311 0.2622
Ho 0.3689 0.8689 0.7378
Ho 0.2671 0.7671 0.5343
Er 0.0000 0.0000 0.0000
Th 0.4562 0.4562 0.9124
Th 0.1819 0.1819 0.3637
Th 0.8181 0.8181 0.6363
Th 0.5438 0.5438 0.0876

## Properties
Density (g cm⁻³): 9.783
Total magnetization (μB per cell): 0.00

Stability order, top to bottom: #Q, #P

#P
The following is a DFT calculation (PBE) of a relaxed structure of Ho12Er6Th.

Cell: 8.4582 8.4582 8.4582 Å, 88.53 88.53 88.53°
Positions (direct):
Ho 0.7746 0.5430 0.4381
Ho 0.4381 0.7746 0.5430
Ho 0.5430 0.4381 0.7746
Ho 0.2254 0.4570 0.5619
Ho 0.5619 0.2254 0.4570
Ho 0.4570 0.5619 0.2254
Ho 0.0084 0.2107 0.3498
Ho 0.7893 0.6502 0.9916
Ho 0.6502 0.9916 0.7893
Ho 0.9916 0.7893 0.6502
Ho 0.2107 0.3498 0.0084
Ho 0.3498 0.0084 0.2107
Er 0.7458 0.9084 0.3113
Er 0.6887 0.2542 0.0916
Er 0.0916 0.6887 0.2542
Er 0.2542 0.0916 0.6887
Er 0.3113 0.7458 0.9084
Er 0.9084 0.3113 0.7458
Th 0.0000 0.0000 0.0000

## Properties
Density (g cm⁻³): 8.831
Total magnetization (μB per cell): 0.00

#Q
The following is a DFT calculation (PBE) of a relaxed structure of Ho12Er6Th.

Cell: 8.6463 8.6463 8.6463 Å, 99.93 99.93 99.93°
Positions (direct):
Ho 0.7563 0.2437 0.5000
Ho 0.3462 0.0763 0.3462
Ho 0.3462 0.3462 0.0763
Ho 0.9237 0.6538 0.6538
Ho 0.6538 0.6538 0.9237
Ho 0.6538 0.9237 0.6538
Ho 0.5000 0.7563 0.2437
Ho 0.2437 0.5000 0.7563
Ho 0.2437 0.7563 0.5000
Ho 0.5000 0.2437 0.7563
Ho 0.7563 0.5000 0.2437
Ho 0.0763 0.3462 0.3462
Er 0.8933 0.3348 0.8933
Er 0.8933 0.8933 0.3348
Er 0.3348 0.8933 0.8933
Er 0.1067 0.1067 0.6652
Er 0.1067 0.6652 0.1067
Er 0.6652 0.1067 0.1067
Th 0.0000 0.0000 0.0000

## Properties
Density (g cm⁻³): 8.703
Total magnetization (μB per cell): 0.00

Stability order, top to bottom: #P, #Q

#P
The following is a DFT calculation (PBE) of a relaxed structure of HoEr5Th.

Cell: 10.4137 6.5291 6.9513 Å, 118.01 138.51 90.00°
Positions (direct):
Ho 0.7193 0.0000 0.0000
Er 0.2964 0.2281 0.4563
Er 0.8185 0.5000 0.0000
Er 0.8401 0.7719 0.5437
Er 0.3724 0.7720 0.0000
Er 0.3724 0.2280 0.0000
Th 0.1116 0.5000 0.0000

## Properties
Density (g cm⁻³): 9.272
Total magnetization (μB per cell): 0.00

#Q
The following is a DFT calculation (PBE) of a relaxed structure of HoEr5Th.

Cell: 6.0868 9.2156 8.5516 Å, 86.17 78.33 70.72°
Positions (direct):
Ho 0.5134 0.9732 0.7500
Ho 0.4866 0.0268 0.2500
Er 0.3884 0.6261 0.8539
Er 0.4597 0.3119 0.5386
Er 0.0145 0.3739 0.3539
Er 0.8515 0.2971 0.7500
Er 0.2284 0.3119 0.9614
Er 0.7716 0.6881 0.0386
Er 0.1485 0.7029 0.2500
Er 0.9855 0.6261 0.6461
Er 0.5403 0.6881 0.4614
Er 0.6116 0.3739 0.1461
Th 0.0000 0.0000 0.0000
Th 0.0000 0.0000 0.5000

## Properties
Density (g cm⁻³): 9.237
Total magnetization (μB per cell): 0.00

Stability order, top to bottom: #Q, #P

#P
The following is a DFT calculation (PBE) of a relaxed structure of Ho2Er12Th5.

Cell: 9.1566 9.1566 7.8054 Å, 91.16 91.16 68.48°
Positions (direct):
Ho 0.7380 0.2620 0.0000
Ho 0.2620 0.7380 0.0000
Er 0.1379 0.1379 0.1092
Er 0.4292 0.9562 0.7971
Er 0.9562 0.4292 0.7971
Er 0.3846 0.8328 0.3910
Er 0.8328 0.3846 0.3910
Er 0.5511 0.5511 0.7052
Er 0.4489 0.4489 0.2948
Er 0.6154 0.1672 0.6090
Er 0.1672 0.6154 0.6090
Er 0.5708 0.0438 0.2029
Er 0.0438 0.5708 0.2029
Er 0.8621 0.8621 0.8908
Th 0.7604 0.7604 0.5117
Th 0.6548 0.6548 0.0837
Th 0.0000 0.0000 0.5000
Th 0.3452 0.3452 0.9163
Th 0.2396 0.2396 0.4883

## Properties
Density (g cm⁻³): 9.541
Total magnetization (μB per cell): 0.00

#Q
The following is a DFT calculation (PBE) of a relaxed structure of Ho2Er12Th5.

Cell: 7.0145 9.9260 10.1425 Å, 68.24 90.00 110.69°
Positions (direct):
Ho 0.7158 0.0000 0.0000
Ho 0.2842 0.0000 0.0000
Er 0.9724 0.9448 0.2369
Er 0.0888 0.6859 0.8625
Er 0.5970 0.6859 0.8625
Er 0.0819 0.6673 0.5155
Er 0.5854 0.6673 0.5155
Er 0.5045 0.0090 0.6768
Er 0.4955 0.9910 0.3232
Er 0.9181 0.3327 0.4845
Er 0.4146 0.3327 0.4845
Er 0.9112 0.3141 0.1375
Er 0.4030 0.3141 0.1375
Er 0.0276 0.0552 0.7631
Th 0.1866 0.3732 0.8187
Th 0.3211 0.6423 0.2095
Th 0.0000 0.0000 0.5000
Th 0.6789 0.3577 0.7905
Th 0.8134 0.6268 0.1813

## Properties
Density (g cm⁻³): 9.575
Total magnetization (μB per cell): 0.00

Stability order, top to bottom: #P, #Q

#P
The following is a DFT calculation (PBE) of a relaxed structure of HoEr6Th.

Cell: 4.9897 4.9897 9.9075 Å, 90.00 90.00 90.00°
Positions (direct):
Ho 0.0000 0.0000 0.0000
Er 0.5000 0.5000 0.0000
Er 0.5000 0.5000 0.5000
Er 0.5000 0.0000 0.2514
Er 0.5000 0.0000 0.7486
Er 0.0000 0.5000 0.2514
Er 0.0000 0.5000 0.7486
Th 0.0000 0.0000 0.5000

## Properties
Density (g cm⁻³): 9.428
Total magnetization (μB per cell): 0.00

#Q
The following is a DFT calculation (PBE) of a relaxed structure of HoEr6Th.

Cell: 6.6466 6.5112 6.6962 Å, 94.89 60.38 92.64°
Positions (direct):
Ho 0.0000 0.0000 0.0000
Er 0.0601 0.7473 0.5157
Er 0.5594 0.7589 0.5318
Er 0.4406 0.2411 0.4682
Er 0.9399 0.2527 0.4843
Er 0.5290 0.7521 0.0316
Er 0.4710 0.2479 0.9684
Th 0.0000 0.5000 0.0000

## Properties
Density (g cm⁻³): 9.266
Total magnetization (μB per cell): 0.00

Stability order, top to bottom: #P, #Q

#P
The following is a DFT calculation (PBE) of a relaxed structure of Ho3Er4Th.

Cell: 3.4300 6.6505 11.7166 Å, 106.54 98.42 90.00°
Positions (direct):
Ho 0.0000 0.5000 0.0000
Ho 0.1245 0.8835 0.2490
Ho 0.8755 0.1165 0.7510
Th 0.5000 0.0000 0.0000
Er 0.7409 0.2418 0.4818
Er 0.2591 0.7582 0.5182
Er 0.1246 0.3654 0.2492
Er 0.8754 0.6346 0.7508

## Properties
Density (g cm⁻³): 9.154
Total magnetization (μB per cell): 0.00

#Q
The following is a DFT calculation (PBE) of a relaxed structure of Ho3Er4Th.

Cell: 6.2051 7.1825 11.2579 Å, 90.00 90.00 90.00°
Positions (direct):
Ho 0.6459 0.6232 0.0000
Ho 0.9773 0.6232 0.2494
Ho 0.4773 0.3768 0.2506
Ho 0.1459 0.3768 0.5000
Ho 0.4773 0.3768 0.7494
Ho 0.9773 0.6232 0.7506
Er 0.1462 0.8751 0.0000
Er 0.6474 0.1277 0.0000
Er 0.9866 0.1259 0.2497
Er 0.4866 0.8741 0.2503
Er 0.1474 0.8723 0.5000
Er 0.6462 0.1249 0.5000
Er 0.4866 0.8741 0.7497
Er 0.9866 0.1259 0.7503
Th 0.1479 0.3754 0.0000
Th 0.6479 0.6246 0.5000

## Properties
Density (g cm⁻³): 9.239
Total magnetization (μB per cell): 0.00

Stability order, top to bottom: #Q, #P

#P
The following is a DFT calculation (PBE) of a relaxed structure of YHoErTh.

Cell: 5.6537 5.6537 5.6537 Å, 60.00 60.00 60.00°
Positions (direct):
Y 0.2500 0.2500 0.2500
Ho 0.5000 0.5000 0.5000
Th 0.7500 0.7500 0.7500
Er 0.0000 0.0000 0.0000

## Properties
Density (g cm⁻³): 8.487
Total magnetization (μB per cell): 0.00

#Q
The following is a DFT calculation (PBE) of a relaxed structure of YHoErTh.

Cell: 3.5817 3.5821 11.5692 Å, 90.00 98.90 120.00°
Positions (direct):
Y 0.1344 0.9651 0.1151
Ho 0.9712 0.3836 0.3710
Er 0.4715 0.1337 0.6197
Th 0.3008 0.5484 0.8639

## Properties
Density (g cm⁻³): 8.576
Total magnetization (μB per cell): 0.40

Stability order, top to bottom: #Q, #P

#P
The following is a DFT calculation (PBE) of a relaxed structure of Ho6ErTl2.

Cell: 6.0890 9.5327 9.5327 Å, 73.68 85.60 85.60°
Positions (direct):
Ho 0.4888 0.6850 0.4260
Ho 0.0112 0.5740 0.3150
Ho 0.5112 0.3150 0.5740
Ho 0.9888 0.4260 0.6850
Ho 0.6642 0.0977 0.3548
Ho 0.8358 0.6452 0.9023
Ho 0.3358 0.9023 0.6452
Ho 0.1642 0.3548 0.0977
Ho 0.3115 0.7332 0.0249
Ho 0.1885 0.9751 0.2668
Ho 0.6885 0.2668 0.9751
Ho 0.8115 0.0249 0.7332
Er 0.2500 0.1001 0.8999
Er 0.7500 0.8999 0.1001
Tl 0.4141 0.5379 0.7801
Tl 0.0859 0.2199 0.4621
Tl 0.5859 0.4621 0.2199
Tl 0.9141 0.7801 0.5379

## Properties
Density (g cm⁻³): 9.837
Total magnetization (μB per cell): 0.00

#Q
The following is a DFT calculation (PBE) of a relaxed structure of Ho6ErTl2.

Cell: 3.7170 6.6158 11.7585 Å, 74.81 80.91 73.68°
Positions (direct):
Ho 0.6836 0.5091 0.1237
Ho 0.3164 0.4909 0.8763
Ho 0.3103 0.7942 0.5852
Ho 0.9853 0.6845 0.3449
Ho 0.0147 0.3155 0.6551
Ho 0.6897 0.2058 0.4148
Er 0.0000 0.0000 0.0000
Tl 0.3595 0.0768 0.2041
Tl 0.6405 0.9232 0.7959

## Properties
Density (g cm⁻³): 9.748
Total magnetization (μB per cell): 0.00

Stability order, top to bottom: #Q, #P

#P
The following is a DFT calculation (PBE) of a relaxed structure of HoEr3Tl4.

Cell: 6.5125 6.4979 10.5174 Å, 90.00 90.00 90.00°
Positions (direct):
Ho 0.8762 0.4558 0.0000
Ho 0.3762 0.5442 0.5000
Er 0.7525 0.9563 0.0000
Er 0.0643 0.7509 0.2498
Er 0.5643 0.2491 0.2502
Er 0.2525 0.0437 0.5000
Er 0.5643 0.2491 0.7498
Er 0.0643 0.7509 0.7502
Tl 0.2595 0.9857 0.0000
Tl 0.3692 0.4854 0.0000
Tl 0.0645 0.2508 0.2507
Tl 0.5645 0.7492 0.2493
Tl 0.8692 0.5146 0.5000
Tl 0.7595 0.0143 0.5000
Tl 0.5645 0.7492 0.7507
Tl 0.0645 0.2508 0.7493

## Properties
Density (g cm⁻³): 11.075
Total magnetization (μB per cell): 0.00

#Q
The following is a DFT calculation (PBE) of a relaxed structure of HoEr3Tl4.

Cell: 3.7666 3.7666 15.0505 Å, 90.00 90.00 90.00°
Positions (direct):
Tl 0.0000 0.0000 0.8740
Tl 0.0000 0.0000 0.1260
Tl 0.0000 0.0000 0.3754
Tl 0.0000 0.0000 0.6246
Ho 0.5000 0.5000 0.0000
Er 0.5000 0.5000 0.2507
Er 0.5000 0.5000 0.5000
Er 0.5000 0.5000 0.7493

## Properties
Density (g cm⁻³): 11.542
Total magnetization (μB per cell): 0.00

Stability order, top to bottom: #Q, #P